The following is a PBE-GGA calculation of crystalline Sc4Ga16Cu3 at its relaxed geometry, from Alexandria via LeMat-Bulk.

Values from the calculation:
Size of the total moment ... 0.00 μB per formula unit
Energy of formation ... -7.6 eV/f.u.
Mass density ... 6.2 g cm⁻³

Lattice parameters (Å, degrees): 6.1029 6.1029 10.6676 90.00 90.00 90.00
Closest atoms and distances in Å follow each position.
Space group P4/mmm (No. 123)
Asymmetric unit:
Sc 0.0000 0.5000 0.1890 (multiplicity 4)  12 Ga 2.93-3.08
Ga 0.0000 0.0000 0.1986 (multiplicity 2)  8 Ga 2.81-2.82, 4 Sc 3.05
Ga 0.2164 0.2164 0.0000 (multiplicity 4)  1 Cu 2.45, 2 Ga 2.64
Ga 0.2426 0.2426 0.3744 (multiplicity 8)  2 Cu 2.54, 3 Ga 2.68-2.81
Ga 0.5000 0.5000 0.2288 (multiplicity 2)  1 Cu 2.44, 4 Ga 2.71
Cu 0.0000 0.5000 0.5000 (multiplicity 2)  8 Ga 2.54
Cu 0.5000 0.5000 0.0000 (multiplicity 1)  6 Ga 2.44-2.45

The following is a PBE-GGA calculation of crystalline ScGa4Cu4 at its relaxed geometry, from Alexandria via LeMat-Bulk.

Values from the calculation:
Size of the total moment ... 0.00 μB per formula unit
Energy of formation ... -1.8 eV/f.u.
Mass density ... 6.9 g cm⁻³

Lattice parameters (Å, degrees): 5.6436 5.6436 8.7099 90.00 90.00 90.00
Closest atoms and distances in Å follow each position.
Space group P4_2/nmc (No. 137, origin choice 2)
Asymmetric unit:
Sc 0.2500 0.7500 0.2500 (multiplicity 2)  4 Ga 2.89, 8 Cu 3.13
Ga 0.0146 0.2500 0.0337 (multiplicity 8)  5 Cu 2.49-2.59, 1 Ga 2.66
Cu 0.0345 0.2500 0.3194 (multiplicity 8)  3 Cu 2.43-2.57, 5 Ga 2.49-2.59

The following is a PBE-GGA calculation of crystalline Sc2GaCu at its relaxed geometry, from Alexandria via LeMat-Bulk.

Values from the calculation:
Size of the total moment ... 0.00 μB per formula unit
Energy of formation ... 0.6 eV/f.u.
Mass density ... 4.6 g cm⁻³

Lattice parameters (Å, degrees): 3.0731 3.0731 29.6135 90.00 90.00 120.00
Closest atoms and distances in Å follow each position.
Space group R-3m (No. 166, hexagonal axes)
Asymmetric unit:
Sc 0.0000 0.0000 0.0901 (multiplicity 6)  1 Cu 2.67, 3 Ga 2.88
Ga 0.0000 0.0000 0.5000 (multiplicity 3)  6 Sc 2.88, 6 Ga 3.07
Cu 0.0000 0.0000 0.0000 (multiplicity 3)  2 Sc 2.67

The following is a PBE-GGA calculation of crystalline Sc6Ga3Cu at its relaxed geometry, from Alexandria via LeMat-Bulk.

Values from the calculation:
Size of the total moment ... 0.00 μB per formula unit
Energy of formation ... -4.2 eV/f.u.
Mass density ... 4.6 g cm⁻³

Lattice parameters (Å, degrees): 8.3509 4.7640 10.4960 90.00 108.81 90.00
Closest atoms and distances in Å follow each position.
Space group P2_1/m (No. 11)
Asymmetric unit:
Sc 0.0344 0.2500 0.4113 (multiplicity 2)  6 Ga 2.84-3.07, 2 Sc 3.12-3.13
Sc 0.1610 0.7500 0.1694 (multiplicity 2)  1 Cu 2.69, 5 Ga 2.81-2.99
Sc 0.2613 0.2500 0.0018 (multiplicity 2)  4 Ga 2.84-3.08, 3 Cu 2.88-2.99
Sc 0.3472 0.7500 0.8157 (multiplicity 2)  3 Cu 2.88-2.93, 3 Ga 2.96-3.01, 3 Sc 3.20-3.21
Sc 0.3643 0.2500 0.3337 (multiplicity 2)  4 Ga 2.98-3.32, 8 Sc 3.01-3.31
Sc 0.3947 0.2500 0.6275 (multiplicity 2)  1 Cu 2.64, 3 Ga 2.74-2.88
Ga 0.0273 0.7500 0.8803 (multiplicity 2)  8 Sc 2.81-3.08
Ga 0.1209 0.2500 0.7171 (multiplicity 2)  8 Sc 2.74-3.05
Ga 0.2784 0.7500 0.4699 (multiplicity 2)  9 Sc 2.88-3.21
Cu 0.4512 0.7500 0.1101 (multiplicity 2)  7 Sc 2.64-2.93

The following is a PBE-GGA calculation of crystalline ScGa4Cu6 at its relaxed geometry, from Alexandria via LeMat-Bulk.

Values from the calculation:
Size of the total moment ... 0.00 μB per formula unit
Energy of formation ... -2.0 eV/f.u.
Mass density ... 7.2 g cm⁻³

Lattice parameters (Å, degrees): 6.8767 6.8767 3.9620 90.00 90.00 120.00
Closest atoms and distances in Å follow each position.
Space group P-6m2 (No. 187)
Asymmetric unit:
Sc 0.0000 0.0000 0.0000 (multiplicity 1)  6 Ga 3.01, 6 Cu 3.18
Ga 0.3333 0.6667 0.0000 (multiplicity 1)  9 Cu 2.46-2.48
Ga 0.3814 0.1907 0.5000 (multiplicity 3)  6 Cu 2.38-2.55
Cu 0.2083 0.4167 0.5000 (multiplicity 3)  4 Ga 2.38-2.48, 2 Cu 2.58
Cu 0.5400 0.0800 0.0000 (multiplicity 3)  5 Ga 2.46-2.55, 2 Cu 2.61

The following is a PBE-GGA calculation of crystalline Sc2GaCu at its relaxed geometry, from Alexandria via LeMat-Bulk.

Values from the calculation:
Size of the total moment ... 0.00 μB per formula unit
Energy of formation ... 0.8 eV/f.u.
Mass density ... 4.4 g cm⁻³

Lattice parameters (Å, degrees): 4.2442 4.2442 18.7026 90.00 90.00 90.00
Closest atoms and distances in Å follow each position.
Space group I-42d (No. 122)
Asymmetric unit:
Sc 0.2472 0.2500 0.1250 (multiplicity 8)  2 Ga 2.77, 2 Cu 2.78, 4 Sc 2.98-3.02
Ga 0.0000 0.0000 0.0000 (multiplicity 4)  4 Sc 2.77, 4 Cu 3.00
Cu 0.0000 0.0000 0.5000 (multiplicity 4)  4 Sc 2.78, 4 Ga 3.00

The following is a PBE-GGA calculation of crystalline Sc3Ga2Cu at its relaxed geometry, from Alexandria via LeMat-Bulk.

Values from the calculation:
Size of the total moment ... 0.00 μB per formula unit
Energy of formation ... -3.1 eV/f.u.
Mass density ... 5.1 g cm⁻³

Lattice parameters (Å, degrees): 4.7065 4.7065 11.5505 90.00 90.00 120.00
Closest atoms and distances in Å follow each position.
Space group P-3m1 (No. 164)
Asymmetric unit:
Sc 0.0000 0.0000 0.2472 (multiplicity 2)  3 Cu 2.85, 5 Ga 2.85-2.92
Sc 0.3333 0.6667 0.4146 (multiplicity 2)  1 Cu 2.80, 7 Ga 2.89-2.99
Sc 0.3333 0.6667 0.9181 (multiplicity 2)  4 Ga 2.83-2.88, 4 Cu 2.91-2.93
Ga 0.0000 0.0000 0.0000 (multiplicity 1)  8 Sc 2.85-2.88
Ga 0.0000 0.0000 0.5000 (multiplicity 1)  8 Sc 2.89-2.92
Ga 0.3333 0.6667 0.6732 (multiplicity 2)  8 Sc 2.83-2.99
Cu 0.3333 0.6667 0.1718 (multiplicity 2)  8 Sc 2.80-2.93

The following is a PBE-GGA calculation of crystalline ScGa6Cu6 at its relaxed geometry, from Alexandria via LeMat-Bulk.

Values from the calculation:
Size of the total moment ... 0.00 μB per formula unit
Energy of formation ... -3.5 eV/f.u.
Mass density ... 7.5 g cm⁻³

Lattice parameters (Å, degrees): 5.1462 8.4524 8.6326 90.00 90.00 90.00
Closest atoms and distances in Å follow each position.
Space group Immm (No. 71)
Asymmetric unit:
Sc 0.0000 0.0000 0.0000 (multiplicity 2)  8 Ga 2.91-3.02
Ga 0.0000 0.0000 0.3431 (multiplicity 4)  6 Cu 2.60, 1 Ga 2.71
Ga 0.0000 0.3442 0.0000 (multiplicity 4)  1 Ga 2.63, 6 Cu 2.64-2.73, 1 Sc 2.91
Ga 0.0000 0.5000 0.3176 (multiplicity 4)  6 Cu 2.54-2.55
Cu 0.0000 0.2629 0.5000 (multiplicity 4)  4 Cu 2.51, 6 Ga 2.55-2.73
Cu 0.2500 0.2500 0.2500 (multiplicity 8)  4 Cu 2.51-2.57, 6 Ga 2.54-2.64

The following is a PBE-GGA calculation of crystalline ScGa2Cu4 at its relaxed geometry, from Alexandria via LeMat-Bulk.

Values from the calculation:
Size of the total moment ... 0.00 μB per formula unit
Energy of formation ... -1.5 eV/f.u.
Mass density ... 7.0 g cm⁻³

Lattice parameters (Å, degrees): 4.1531 4.1531 20.7576 90.00 90.00 120.00
Closest atoms and distances in Å follow each position.
Space group R-3m (No. 166, hexagonal axes)
Asymmetric unit:
Sc 0.0000 0.0000 0.0000 (multiplicity 3)  6 Ga 2.85, 2 Cu 2.88
Ga 0.0000 0.0000 0.2593 (multiplicity 6)  7 Cu 2.47-2.75
Cu 0.0000 0.0000 0.1388 (multiplicity 6)  4 Ga 2.50-2.75, 6 Cu 2.52-2.66
Cu 0.0000 0.0000 0.4349 (multiplicity 6)  3 Ga 2.47, 4 Cu 2.52-2.70

The following is a PBE-GGA calculation of crystalline ScGa3Cu2 at its relaxed geometry, from Alexandria via LeMat-Bulk.

Values from the calculation:
Size of the total moment ... 0.00 μB per formula unit
Energy of formation ... -1.5 eV/f.u.
Mass density ... 6.5 g cm⁻³

Lattice parameters (Å, degrees): 9.1916 7.8632 5.3613 90.00 90.00 90.00
Closest atoms and distances in Å follow each position.
Space group Cmcm (No. 63)
Asymmetric unit:
Sc 0.0000 0.1260 0.2500 (multiplicity 4)  7 Ga 2.84-3.11, 4 Cu 2.95
Ga 0.0000 0.4869 0.2500 (multiplicity 4)  4 Cu 2.55, 4 Ga 2.66-2.69, 1 Sc 2.84
Ga 0.1503 0.2241 0.7500 (multiplicity 8)  4 Cu 2.45-2.67, 1 Ga 2.66
Cu 0.2351 0.5000 0.0000 (multiplicity 8)  6 Ga 2.45-2.67, 2 Cu 2.68

The following is a PBE-GGA calculation of crystalline Sc4GaCu3 at its relaxed geometry, from Alexandria via LeMat-Bulk.

Values from the calculation:
Size of the total moment ... 0.00 μB per formula unit
Energy of formation ... -2.9 eV/f.u.
Mass density ... 5.1 g cm⁻³

Lattice parameters (Å, degrees): 4.6443 4.6443 22.8155 90.00 90.00 120.00
Closest atoms and distances in Å follow each position.
Space group R-3m (No. 166, hexagonal axes)
Asymmetric unit:
Sc 0.0000 0.0000 0.1224 (multiplicity 6)  5 Cu 2.79-2.88, 3 Ga 2.87
Sc 0.0000 0.0000 0.3728 (multiplicity 6)  7 Cu 2.83-2.87, 1 Ga 2.90
Ga 0.0000 0.0000 0.5000 (multiplicity 3)  8 Sc 2.87-2.90
Cu 0.0000 0.0000 0.0000 (multiplicity 3)  8 Sc 2.79-2.83
Cu 0.0000 0.0000 0.2486 (multiplicity 6)  8 Sc 2.82-2.88

Number 1: D(E_F) 0.271 states/eV per atom. Number 2: D(E_F) 0.379 states/eV per atom. Number 3: D(E_F) 0.608 states/eV per atom. Number 4: D(E_F) 0.991 states/eV per atom. Number 5: D(E_F) 0.360 states/eV per atom. Number 6: D(E_F) 1.254 states/eV per atom. Number 7: D(E_F) 0.722 states/eV per atom. Number 8: D(E_F) 0.291 states/eV per atom. Number 9: D(E_F) 0.430 states/eV per atom. Number 10: D(E_F) 0.426 states/eV per atom. Number 11: D(E_F) 0.934 states/eV per atom.